(1)
HgOsAu2 at its PBEsol-relaxed geometry, computed with meta-GGA SCAN.

## Properties
**DOS(E_F)**: 2.92 states/eV per cell
**Magnetic moment**: 0.000 μB/f.u.
**E**: -275.8 eV/cell
**Symmetry**: Pmmm (47)
**Calculated formation energy**: 62 kJ per mole of atoms

a = 2.749 Å, b = 4.105 Å, c = 5.989 Å
α = 90.00°, β = 90.00°, γ = 90.00°
Atoms (fractional coordinates):
1 Hg 0.000 0.000 0.000
2 Os 0.000 0.000 0.500
3 Au 0.500 0.500 0.268
4 Au 0.500 0.500 0.732

=====

(2)
HgOs2Au at its PBEsol-relaxed geometry, computed with meta-GGA SCAN.

## Properties
**DOS(E_F)**: 2.97 states/eV per cell
**Magnetic moment**: 2.044 μB/f.u.
**E**: -276.8 eV/cell
**Symmetry**: P4/mmm (123)
**Calculated formation energy**: 102 kJ per mole of atoms

a = 3.947 Å, b = 3.947 Å, c = 4.086 Å
α = 90.00°, β = 90.00°, γ = 90.00°
Atoms (fractional coordinates):
1 Hg 0.000 0.000 0.000
2 Os 0.000 0.500 0.500
3 Os 0.500 0.000 0.500
4 Au 0.500 0.500 0.000

=====

(3)
HgOsAu2 at its PBEsol-relaxed geometry, computed with meta-GGA SCAN.

## Properties
**DOS(E_F)**: 3.66 states/eV per cell
**Magnetic moment**: 0.000 μB/f.u.
**E**: -552.0 eV/cell
**Symmetry**: Cmmm (65)
**Calculated formation energy**: 57 kJ per mole of atoms

a = 5.742 Å, b = 8.531 Å, c = 2.737 Å
α = 90.00°, β = 90.00°, γ = 90.00°
Atoms (fractional coordinates):
1 Hg 0.000 0.000 0.000
2 Hg 0.500 0.500 0.000
3 Os 0.000 0.500 0.000
4 Os 0.500 0.000 0.000
5 Au 0.250 0.250 0.500
6 Au 0.250 0.750 0.500
7 Au 0.750 0.250 0.500
8 Au 0.750 0.750 0.500

=====

(4)
Hg2OsAu at its PBEsol-relaxed geometry, computed with meta-GGA SCAN.

## Properties
**DOS(E_F)**: 4.05 states/eV per cell
**Magnetic moment**: 0.829 μB/f.u.
**E**: -549.6 eV/cell
**ΔE to the lowest computed polymorph**: 0 meV/atom
**Symmetry**: Cmm2 (35)
**Calculated formation energy**: 62 kJ per mole of atoms

a = 2.823 Å, b = 5.058 Å, c = 10.120 Å
α = 90.00°, β = 90.00°, γ = 90.00°
Atoms (fractional coordinates):
1 Hg 0.000 0.000 0.000
2 Hg 0.000 0.500 0.275
3 Hg 0.500 0.000 0.275
4 Hg 0.500 0.500 0.000
5 Os 0.000 0.000 0.516
6 Os 0.500 0.500 0.516
7 Au 0.000 0.500 0.745
8 Au 0.500 0.000 0.745